! LiNbNiO4 | the Alexandria database | PBE+U | optimized geometry; values from VASP
&SYSTEM
  ibrav = 0, nat = 28, ntyp = 4
/
ATOMIC_SPECIES
Li 6.94 Li.upf
Nb 92.91 Nb.upf
Ni 58.69 Ni.upf
O 16.00 O.upf
CELL_PARAMETERS angstrom
6.050 0.000 0.000
0.000 6.050 0.000
0.000 0.000 8.598
ATOMIC_POSITIONS angstrom
Li 0.000 1.452 0.000
Li 0.000 4.599 4.299
Li 1.452 0.000 2.150
Li 4.599 0.000 6.449
Nb 1.534 1.534 5.374
Nb 1.534 4.516 7.524
Nb 4.516 1.534 3.224
Nb 4.516 4.516 1.075
Ni 1.479 3.025 2.150
Ni 3.025 1.479 0.000
Ni 3.025 4.571 4.299
Ni 4.571 3.025 6.449
O 0.021 1.554 2.186
O 0.021 4.497 2.113
O 1.554 0.021 8.562
O 1.556 2.994 0.065
O 1.556 3.057 4.234
O 1.554 6.029 4.336
O 2.994 1.556 2.084
O 2.994 4.494 2.215
O 3.057 1.556 6.514
O 3.057 4.494 6.383
O 4.497 0.021 0.036
O 4.494 2.994 8.533
O 4.494 3.057 4.365
O 4.497 6.029 4.263
O 6.029 1.554 6.413
O 6.029 4.497 6.485
! DOS(E_F): 0.0000 states/eV per atom
! volume: 314.8 Å³ per cell
! polymorph energy (0 for the lowest one): 0.0 meV/atom


! Li5Nb2Ni3O10 | the Alexandria database | PBE+U | optimized geometry; values from VASP
&SYSTEM
  ibrav = 0, nat = 20, ntyp = 4
/
ATOMIC_SPECIES
Li 6.94 Li.upf
Nb 92.91 Nb.upf
Ni 58.69 Ni.upf
O 16.00 O.upf
CELL_PARAMETERS angstrom
5.202 0.000 0.000
0.910 5.134 0.000
2.476 2.093 7.177
ATOMIC_POSITIONS angstrom
Li 0.000 0.000 0.000
Li 3.441 3.940 0.734
Li 5.131 6.161 5.004
Li 3.458 1.067 2.173
Li 5.148 3.287 6.443
Nb 0.894 2.453 1.376
Nb 7.694 4.775 5.801
Ni 1.691 2.271 4.308
Ni 4.294 3.614 3.588
Ni 6.897 4.956 2.869
O 1.658 0.665 1.122
O 3.380 5.469 4.003
O 2.527 3.055 2.527
O 3.364 2.967 5.355
O 4.222 5.338 6.846
O 4.366 1.890 0.331
O 5.224 4.261 1.822
O 6.061 4.172 4.650
O 5.208 1.758 3.174
O 6.931 6.562 6.055
! final energy: -6.279 eV/atom
! DOS(E_F): 0.0039 states/eV per atom
! volume: 191.7 Å³ per cell


! LiNbNiO4 | the Alexandria database | PBE+U | optimized geometry; values from VASP
&SYSTEM
  ibrav = 0, nat = 14, ntyp = 4
/
ATOMIC_SPECIES
Li 6.94 Li.upf
Nb 92.91 Nb.upf
Ni 58.69 Ni.upf
O 16.00 O.upf
CELL_PARAMETERS angstrom
-3.012 3.098 4.325
3.012 -3.098 4.325
3.012 3.098 -4.325
ATOMIC_POSITIONS angstrom
Li 0.000 1.549 1.211
Li 3.012 1.549 3.115
Nb 3.012 0.000 0.000
Nb 0.000 0.000 4.325
Ni 1.506 1.549 -2.163
Ni 1.506 -1.549 2.163
O 3.012 -0.128 1.976
O 3.012 2.970 -1.976
O 1.663 1.549 0.011
O 4.360 1.549 0.011
O -1.349 1.549 4.314
O 1.349 1.549 4.314
O 0.000 0.128 6.301
O 0.000 3.226 2.350
! DOS(E_F): 0.0000 states/eV per atom
! volume: 161.4 Å³ per cell
! polymorph energy (0 for the lowest one): 47.6 meV/atom


! Li4NbNi3O8 | the Alexandria database | PBE+U | optimized geometry; values from VASP
&SYSTEM
  ibrav = 0, nat = 16, ntyp = 4
/
ATOMIC_SPECIES
Li 6.94 Li.upf
Nb 92.91 Nb.upf
Ni 58.69 Ni.upf
O 16.00 O.upf
CELL_PARAMETERS angstrom
2.980 1.720 4.890
-2.980 1.720 4.890
0.000 -3.441 4.890
ATOMIC_POSITIONS angstrom
Li 0.000 0.000 0.000
Li -1.490 -0.860 4.890
Li -1.490 0.860 9.780
Li 0.000 1.720 4.890
Nb 0.000 0.000 7.335
Ni -2.980 0.000 7.335
Ni -1.490 0.860 2.445
Ni 1.490 0.860 2.445
O 0.000 0.000 3.488
O -1.436 -0.829 8.502
O 0.000 -1.658 6.167
O -1.436 0.829 6.167
O 1.436 -0.829 8.502
O 0.000 1.658 8.502
O 1.436 0.829 6.167
O 0.000 0.000 11.182
! final energy: -5.800 eV/atom
! DOS(E_F): 0.2447 states/eV per atom
! volume: 150.4 Å³ per cell